Model a:
An optimized crystal structure of Tb5Pm12Dy2. Source: Alexandria via LeMat-Bulk, functional PBE.

```
Tb5Pm12Dy2
1.0
10.3970 0.0000 0.0000
-5.1985 7.7895 -0.2882
0.0000 0.6116 7.9827
Tb Dy Pm
5 2 12
Cartesian
0.0000 5.4751 0.4890 Tb
5.1985 4.2786 3.7351 Tb
0.0000 0.3058 3.9914 Tb
0.0000 4.1224 3.9595 Tb
5.1985 2.9259 7.2055 Tb
7.7633 0.0000 0.0000 Dy
2.6337 0.0000 0.0000 Dy
0.0000 2.7822 6.9844 Pm
2.8121 5.3180 6.1602 Pm
-2.8121 5.3180 6.1602 Pm
8.0106 3.0831 1.5343 Pm
5.1985 0.9864 2.2847 Pm
2.3864 3.0831 1.5343 Pm
7.5468 2.0249 4.8230 Pm
2.3482 6.3762 2.8715 Pm
-2.3482 6.3762 2.8715 Pm
5.1985 5.6188 0.7101 Pm
2.8503 2.0249 4.8230 Pm
0.0000 7.4147 5.4098 Pm
```

Results
Calculated density ... 7.3 g/cm3
N(E_F) ... 1.3878 states/eV per atom

Model b:
An optimized crystal structure of Tb5Pm12Dy2. Source: Alexandria via LeMat-Bulk, functional PBE.

```
Tb5Pm12Dy2
1.0
-3.6082 -1.2214 -8.4685
3.9173 -7.0372 4.4369
-7.8145 -1.6860 3.5727
Pm Tb Dy
12 5 2
Cartesian
-6.5536 -2.6717 3.1776 Pm
-1.6508 -6.4427 -0.3652 Pm
-5.6261 -7.0302 0.1651 Pm
-3.2759 -7.8495 2.5279 Pm
-4.1799 -3.6932 -6.0234 Pm
-4.2295 -2.0952 -2.9867 Pm
-0.2349 -5.9633 2.9580 Pm
-1.8793 -2.9144 -0.6239 Pm
-5.8546 -3.5020 -0.0936 Pm
-0.9518 -7.2729 -3.6365 Pm
-3.3255 -6.2515 5.5646 Pm
-7.2706 -3.9813 -3.4168 Pm
-4.0479 -5.4477 -2.5806 Tb
-3.4575 -4.4969 2.1217 Tb
-6.3355 -6.1514 3.5866 Tb
-1.1699 -3.7933 -4.0454 Tb
-3.9073 -0.8430 1.7864 Tb
-1.1883 -0.4023 -2.7890 Dy
-2.4198 -0.8191 -5.6794 Dy
```

Results
Calculated density ... 7.4 g/cm3
N(E_F) ... 1.3863 states/eV per atom

Ranked by calculated energy, most stable first: model b, model a.